No. 1
Density functional theory data (PBE-GGA) for an optimized crystal structure of Tb8Ir5Pt.

## Properties
The crystal system is tetragonal. The total energy is -7.059 eV/atom.

Geometry as CIF:
```
data_Tb8Ir5Pt
_space_group_name_H-M_alt 'I -4'
_space_group_IT_number 82
_space_group_name_Hall 'I -4'
_cell_length_a 8.646
_cell_length_b 8.646
_cell_length_c 8.629
_cell_angle_alpha 90.00
_cell_angle_beta 90.00
_cell_angle_gamma 90.00
loop_
_atom_site_label
_atom_site_type_symbol
_atom_site_fract_x
_atom_site_fract_y
_atom_site_fract_z
_atom_site_occupancy
Tb1 Tb 0.065 0.313 0.436 1
Tb2 Tb 0.066 0.182 0.810 1
Ir1 Ir 0.000 0.000 0.500 1
Ir2 Ir 0.127 0.249 0.124 1
Pt1 Pt 0.000 0.500 0.750 1
```

---

No. 2
Density functional theory data (PBE-GGA) for an optimized crystal structure of SmHgBi2.

## Properties
The crystal system is tetragonal. The total energy is -3.630 eV/atom. As for the energy above the most stable polymorph in this dataset: 0.000 eV/f.u.

Geometry as CIF:
```
data_SmHgBi2
_space_group_name_H-M_alt 'P 4/m m m'
_space_group_IT_number 123
_space_group_name_Hall '-P 4 2'
_cell_length_a 4.850
_cell_length_b 4.850
_cell_length_c 4.910
_cell_angle_alpha 90.00
_cell_angle_beta 90.00
_cell_angle_gamma 90.00
loop_
_atom_site_label
_atom_site_type_symbol
_atom_site_fract_x
_atom_site_fract_y
_atom_site_fract_z
_atom_site_occupancy
Sm1 Sm 0.000 0.000 0.000 1
Hg1 Hg 0.500 0.500 0.000 1
Bi1 Bi 0.000 0.500 0.500 1
```

---

No. 3
Density functional theory data (PBE-GGA) for an optimized crystal structure of La4AlTl3.

## Properties
The crystal system is tetragonal. The total energy is -4.225 eV/atom.

Geometry as CIF:
```
data_La4AlTl3
_space_group_name_H-M_alt 'P 4/m m m'
_space_group_IT_number 123
_space_group_name_Hall '-P 4 2'
_cell_length_a 3.893
_cell_length_b 3.893
_cell_length_c 16.147
_cell_angle_alpha 90.00
_cell_angle_beta 90.00
_cell_angle_gamma 90.00
loop_
_atom_site_label
_atom_site_type_symbol
_atom_site_fract_x
_atom_site_fract_y
_atom_site_fract_z
_atom_site_occupancy
La1 La 0.000 0.000 0.114 1
La2 La 0.000 0.000 0.371 1
Al1 Al 0.500 0.500 0.000 1
Tl1 Tl 0.500 0.500 0.244 1
Tl2 Tl 0.500 0.500 0.500 1
```

---

No. 4
Density functional theory data (PBE-GGA) for an optimized crystal structure of U2Tl3VTe6.

## Properties
The crystal system is monoclinic. The total energy is -5.249 eV/atom.

Geometry as CIF:
```
data_U2Tl3VTe6
_space_group_name_H-M_alt 'C 1 2/m 1'
_space_group_IT_number 12
_space_group_name_Hall '-C 2y'
_cell_length_a 7.439
_cell_length_b 12.868
_cell_length_c 8.690
_cell_angle_alpha 90.00
_cell_angle_beta 106.64
_cell_angle_gamma 90.00
loop_
_atom_site_label
_atom_site_type_symbol
_atom_site_fract_x
_atom_site_fract_y
_atom_site_fract_z
_atom_site_occupancy
U1 U 0.000 0.165 0.000 1
Tl1 Tl 0.000 0.000 0.500 1
Tl2 Tl 0.000 0.324 0.500 1
V1 V 0.000 0.500 0.000 1
Te1 Te 0.224 0.344 0.205 1
Te2 Te 0.241 0.500 0.787 1
```

---

No. 5
Density functional theory data (PBE-GGA) for an optimized crystal structure of SmNbCo2.

## Properties
The crystal system is tetragonal. The total energy is -7.294 eV/atom. As for the energy above the most stable polymorph in this dataset: 0.000 eV/f.u.

Geometry as CIF:
```
data_SmNbCo2
_space_group_name_H-M_alt 'P 4/m m m'
_space_group_IT_number 123
_space_group_name_Hall '-P 4 2'
_cell_length_a 3.126
_cell_length_b 3.126
_cell_length_c 6.955
_cell_angle_alpha 90.00
_cell_angle_beta 90.00
_cell_angle_gamma 90.00
loop_
_atom_site_label
_atom_site_type_symbol
_atom_site_fract_x
_atom_site_fract_y
_atom_site_fract_z
_atom_site_occupancy
Sm1 Sm 0.000 0.000 0.000 1
Nb1 Nb 0.000 0.000 0.500 1
Co1 Co 0.500 0.500 0.307 1
```

---

No. 6
Density functional theory data (PBE-GGA) for an optimized crystal structure of K2NdUS6.

## Properties
The crystal system is monoclinic. The total energy is -5.606 eV/atom.

Geometry as CIF:
```
data_K2NdUS6
_space_group_name_H-M_alt 'P 1 21/c 1'
_space_group_IT_number 14
_space_group_name_Hall '-P 2ybc'
_cell_length_a 7.441
_cell_length_b 7.489
_cell_length_c 12.933
_cell_angle_alpha 90.00
_cell_angle_beta 125.04
_cell_angle_gamma 90.00
loop_
_atom_site_label
_atom_site_type_symbol
_atom_site_fract_x
_atom_site_fract_y
_atom_site_fract_z
_atom_site_occupancy
K1 K 0.245 0.022 0.250 1
Nd1 Nd 0.500 0.000 0.000 1
U1 U 0.000 0.000 0.500 1
S1 S 0.186 0.233 0.978 1
S2 S 0.247 0.709 0.980 1
S3 S 0.279 0.007 0.738 1
```